Computed, not measured: a relaxed NbB2 crystal at the PBE level of DFT.

Results
Its volume is 9.4 Å³/atom. The formation energy from the elements comes out at -15.78 kcal/mol of atoms. Its symmetry is I4_1/amd, No. 141.

extended XYZ file:
```
6
Lattice="-1.610 1.610 5.415 1.610 -1.610 5.415 1.610 1.610 -5.415" Properties=species:S:1:pos:R:3 pbc="T T T"
Nb 1.610 0.805 1.354
Nb 0.000 0.805 4.061
B 1.610 -0.805 3.160
B 1.610 -0.805 4.962
B 0.000 2.415 0.453
B 0.000 2.415 2.255
```

=====

Computed, not measured: a relaxed Nb2B3 crystal at the PBE level of DFT.

Results
Its volume is 10.3 Å³/atom. The formation energy from the elements comes out at -8.85 kcal/mol of atoms. Its symmetry is Cmce, No. 64.

extended XYZ file:
```
10
Lattice="2.272 -3.914 0.000 2.272 3.914 0.000 0.000 0.000 5.787" Properties=species:S:1:pos:R:3 pbc="T T T"
Nb 2.272 2.614 5.205
Nb 2.272 1.300 2.312
Nb 2.272 -1.300 3.475
Nb 2.272 -2.614 0.581
B 0.000 0.000 2.893
B 1.136 0.658 4.340
B 1.136 -0.658 1.447
B 2.272 0.000 0.000
B 3.408 0.658 4.340
B 3.408 -0.658 1.447
```

=====

Computed, not measured: a relaxed Nb4B crystal at the PBE level of DFT.

Results
Its volume is 16.3 Å³/atom. The formation energy from the elements comes out at 2.73 kcal/mol of atoms. Its symmetry is I4/m, No. 87. The energy above the most stable polymorph in this dataset comes out at 29 meV/atom.

extended XYZ file:
```
5
Lattice="-3.872 3.872 1.357 3.872 -3.872 1.357 3.872 3.872 -1.357" Properties=species:S:1:pos:R:3 pbc="T T T"
Nb 5.704 0.442 0.000
Nb 0.442 2.040 0.000
Nb 3.430 1.832 1.357
Nb -1.832 3.430 1.357
B 0.000 0.000 1.357
```

=====

Computed, not measured: a relaxed NbB2 crystal at the PBE level of DFT.

Results
Its volume is 10.1 Å³/atom. The formation energy from the elements comes out at 9.16 kcal/mol of atoms. Its symmetry is I4/mmm, No. 139.

extended XYZ file:
```
3
Lattice="-1.367 1.367 4.068 1.367 -1.367 4.068 1.367 1.367 -4.068" Properties=species:S:1:pos:R:3 pbc="T T T"
Nb 0.000 0.000 0.000
B 0.000 0.000 2.364
B 0.000 0.000 5.772
```

=====

Computed, not measured: a relaxed Nb3B4 crystal at the PBE level of DFT.

Results
Its volume is 10.6 Å³/atom. The formation energy from the elements comes out at -17.85 kcal/mol of atoms. Its symmetry is Immm, No. 71.

extended XYZ file:
```
7
Lattice="-1.580 1.662 7.075 1.580 -1.662 7.075 1.580 1.662 -7.075" Properties=species:S:1:pos:R:3 pbc="T T T"
Nb 0.000 0.000 0.000
Nb 1.580 0.000 2.616
Nb 0.000 1.662 4.459
B 1.580 0.000 5.203
B 0.000 0.000 6.167
B 0.000 0.000 7.983
B 0.000 1.662 1.872
```

=====

Computed, not measured: a relaxed Nb3B crystal at the PBE level of DFT.

Results
Its volume is 15.8 Å³/atom. The formation energy from the elements comes out at 0.14 kcal/mol of atoms. Its symmetry is Imm2, No. 44.

extended XYZ file:
```
4
Lattice="-1.619 3.710 2.624 1.619 -3.710 2.624 1.619 3.710 -2.624" Properties=species:S:1:pos:R:3 pbc="T T T"
Nb 0.000 0.000 0.000
Nb 1.619 2.267 0.134
Nb 0.000 1.442 2.758
B 1.619 0.000 1.660
```

=====

Computed, not measured: a relaxed Nb2B3 crystal at the PBE level of DFT.

Results
Its volume is 10.2 Å³/atom. The formation energy from the elements comes out at -17.56 kcal/mol of atoms. Its symmetry is P2_1/m, No. 11.

extended XYZ file:
```
10
Lattice="3.325 0.000 0.000 0.000 3.141 0.000 -1.658 0.000 9.799" Properties=species:S:1:pos:R:3 pbc="T T T"
Nb -0.004 0.785 1.352
Nb -0.001 2.356 3.972
Nb 1.667 0.785 5.827
Nb 1.670 2.356 8.448
B 0.003 2.356 6.566
B 0.004 0.785 7.528
B 0.005 0.785 9.350
B 1.661 2.356 0.449
B 1.662 2.356 2.272
B 1.664 0.785 3.234
```

=====

Computed, not measured: a relaxed NbB5 crystal at the PBE level of DFT.

Results
Its volume is 8.9 Å³/atom. The formation energy from the elements comes out at 7.60 kcal/mol of atoms. Its symmetry is Cmmm, No. 65.

extended XYZ file:
```
6
Lattice="2.552 -3.449 0.000 2.552 3.449 0.000 0.000 0.000 3.047" Properties=species:S:1:pos:R:3 pbc="T T T"
Nb 0.000 0.000 0.000
B 2.552 1.695 1.523
B 2.552 0.922 0.000
B 2.552 0.000 1.523
B 2.552 -0.922 0.000
B 2.552 -1.695 1.523
```

=====

Computed, not measured: a relaxed NbB2 crystal at the PBE level of DFT.

Results
Its volume is 9.4 Å³/atom. The formation energy from the elements comes out at -16.09 kcal/mol of atoms. Its symmetry is P6/mmm, No. 191.

extended XYZ file:
```
3
Lattice="3.112 0.000 0.000 -1.556 2.695 0.000 0.000 0.000 3.359" Properties=species:S:1:pos:R:3 pbc="T T T"
Nb 0.000 0.000 0.000
B 0.000 1.797 1.679
B 1.556 0.898 1.679
```

=====

Computed, not measured: a relaxed Nb4B crystal at the PBE level of DFT.

Results
Its volume is 17.2 Å³/atom. The formation energy from the elements comes out at 2.07 kcal/mol of atoms. Its symmetry is Pm-3m, No. 221. The energy above the most stable polymorph in this dataset comes out at 0 meV/atom.

extended XYZ file:
```
5
Lattice="4.411 0.000 0.000 0.000 4.411 0.000 0.000 0.000 4.411" Properties=species:S:1:pos:R:3 pbc="T T T"
Nb 0.000 0.000 0.000
Nb 0.000 2.205 2.205
Nb 2.205 0.000 2.205
Nb 2.205 2.205 0.000
B 2.205 2.205 2.205
```

=====

Computed, not measured: a relaxed NbB4 crystal at the PBE level of DFT.

Results
Its volume is 15.9 Å³/atom. The formation energy from the elements comes out at 55.21 kcal/mol of atoms. Its symmetry is Pm-3m, No. 221. The energy above the most stable polymorph in this dataset comes out at 2343 meV/atom.

extended XYZ file:
```
5
Lattice="4.298 0.000 0.000 0.000 4.298 0.000 0.000 0.000 4.298" Properties=species:S:1:pos:R:3 pbc="T T T"
Nb 0.000 0.000 0.000
B 0.000 0.000 2.149
B 0.000 2.149 0.000
B 2.149 0.000 0.000
B 2.149 2.149 2.149
```

=====

Computed, not measured: a relaxed NbB4 crystal at the PBE level of DFT.

Results
Its volume is 9.5 Å³/atom. The formation energy from the elements comes out at 1.18 kcal/mol of atoms. Its symmetry is P4/mbm, No. 127. The energy above the most stable polymorph in this dataset comes out at 0 meV/atom.

extended XYZ file:
```
20
Lattice="6.908 0.000 0.000 0.000 6.908 0.000 0.000 0.000 3.962" Properties=species:S:1:pos:R:3 pbc="T T T"
Nb 0.924 2.530 0.000
Nb 2.530 5.984 0.000
Nb 4.378 0.924 0.000
Nb 5.984 4.378 0.000
B 0.000 0.000 0.792
B 0.000 0.000 3.170
B 0.223 5.666 1.981
B 0.598 4.052 1.981
B 1.242 0.223 1.981
B 2.212 3.677 1.981
B 2.856 0.598 1.981
B 3.231 2.212 1.981
B 3.454 3.454 0.792
B 3.454 3.454 3.170
B 3.677 4.696 1.981
B 4.052 6.310 1.981
B 4.696 3.231 1.981
B 5.666 6.685 1.981
B 6.310 2.856 1.981
B 6.685 1.242 1.981
```

=====

Computed, not measured: a relaxed NdNbB crystal at the PBE level of DFT.

Results
Its volume is 18.8 Å³/atom. The formation energy from the elements comes out at -6.30 kcal/mol of atoms. Its symmetry is Cmcm, No. 63.

extended XYZ file:
```
6
Lattice="1.679 -10.505 0.000 1.679 10.505 0.000 0.000 0.000 3.199" Properties=species:S:1:pos:R:3 pbc="T T T"
Nd 1.679 6.903 2.399
Nd 1.679 -6.903 0.800
Nb 1.679 1.249 2.399
Nb 1.679 -1.249 0.800
B 1.679 10.020 2.399
B 1.679 -10.020 0.800
```

=====

Computed, not measured: a relaxed Nb2NiB2 crystal at the PBE level of DFT.

Results
Its volume is 11.4 Å³/atom. The formation energy from the elements comes out at -13.67 kcal/mol of atoms. Its symmetry is P4/mbm, No. 127. The energy above the most stable polymorph in this dataset comes out at 6 meV/atom.

extended XYZ file:
```
10
Lattice="5.859 0.000 0.000 0.000 5.859 0.000 0.000 0.000 3.335" Properties=species:S:1:pos:R:3 pbc="T T T"
Nb 1.064 1.866 0.000
Nb 1.866 4.795 0.000
Nb 3.993 1.064 0.000
Nb 4.795 3.993 0.000
Ni 0.000 0.000 1.668
Ni 2.929 2.929 1.668
B 0.630 3.560 1.668
B 2.299 0.630 1.668
B 3.560 5.229 1.668
B 5.229 2.299 1.668
```

=====

Computed, not measured: a relaxed Nb2Ni21B6 crystal at the PBE level of DFT.

Results
Its volume is 10.1 Å³/atom. The formation energy from the elements comes out at -7.28 kcal/mol of atoms. Its symmetry is Fm-3m, No. 225.

extended XYZ file:
```
29
Lattice="0.000 5.270 5.270 5.270 0.000 5.270 5.270 5.270 0.000" Properties=species:S:1:pos:R:3 pbc="T T T"
Nb 2.635 2.635 2.635
Nb 7.905 7.905 7.905
Ni 0.000 0.000 0.000
Ni 1.794 1.794 0.000
Ni 3.476 3.476 0.000
Ni 1.794 0.000 1.794
Ni 5.270 3.476 1.794
Ni 3.476 0.000 3.476
Ni 5.270 1.794 3.476
Ni 6.487 4.054 4.054
Ni 0.000 1.794 1.794
Ni 3.476 5.270 1.794
Ni 3.476 1.794 5.270
Ni 4.054 4.054 4.054
Ni 6.487 6.487 4.054
Ni 6.487 4.054 6.487
Ni 4.054 6.487 4.054
Ni 4.054 4.054 6.487
Ni 6.487 6.487 6.487
Ni 0.000 3.476 3.476
Ni 1.794 5.270 3.476
Ni 1.794 3.476 5.270
Ni 4.054 6.487 6.487
B 5.270 5.270 2.817
B 5.270 2.817 5.270
B 7.724 5.270 5.270
B 2.817 5.270 5.270
B 5.270 7.724 5.270
B 5.270 5.270 7.724
```

=====

Computed, not measured: a relaxed Nb3NiB4 crystal at the PBE level of DFT.

Results
Its volume is 11.4 Å³/atom. The formation energy from the elements comes out at -10.87 kcal/mol of atoms. Its symmetry is Immm, No. 71.

extended XYZ file:
```
8
Lattice="-1.685 2.334 5.818 1.685 -2.334 5.818 1.685 2.334 -5.818" Properties=species:S:1:pos:R:3 pbc="T T T"
Nb 0.000 0.000 0.000
Nb 1.685 0.000 3.600
Nb 0.000 2.334 2.218
Ni 0.000 0.000 5.818
B 1.685 0.874 -1.451
B 1.685 0.874 1.451
B 0.000 1.460 4.367
B 0.000 1.460 7.269
```

=====

Computed, not measured: a relaxed Nb3NiB7 crystal at the PBE level of DFT.

Results
Its volume is 9.3 Å³/atom. The formation energy from the elements comes out at -12.88 kcal/mol of atoms. Its symmetry is Cmcm, No. 63.

extended XYZ file:
```
22
Lattice="1.605 -7.245 0.000 1.605 7.245 0.000 0.000 0.000 8.782" Properties=species:S:1:pos:R:3 pbc="T T T"
Nb 1.605 5.691 4.865
Nb 1.605 5.691 8.309
Nb 1.605 3.666 2.196
Nb 1.605 -3.666 6.587
Nb 1.605 -5.691 0.474
Nb 1.605 -5.691 3.917
Ni 1.605 6.550 2.196
Ni 1.605 -6.550 6.587
B 1.605 3.296 4.670
B 1.605 3.296 8.504
B 1.605 1.924 5.714
B 1.605 1.924 7.459
B 1.605 1.005 2.196
B 1.605 0.209 5.215
B 1.605 0.209 7.958
B 1.605 -0.209 0.824
B 1.605 -0.209 3.567
B 1.605 -1.005 6.587
B 1.605 -1.924 1.323
B 1.605 -1.924 3.068
B 1.605 -3.296 0.278
B 1.605 -3.296 4.113
```

=====

Computed, not measured: a relaxed Nb2NiB2 crystal at the PBE level of DFT.

Results
Its volume is 11.5 Å³/atom. The formation energy from the elements comes out at -13.81 kcal/mol of atoms. Its symmetry is Cmmm, No. 65. The energy above the most stable polymorph in this dataset comes out at 0 meV/atom.

extended XYZ file:
```
5
Lattice="1.535 -5.614 0.000 1.535 5.614 0.000 0.000 0.000 3.335" Properties=species:S:1:pos:R:3 pbc="T T T"
Nb 1.535 4.097 0.000
Nb 1.535 -4.097 0.000
Ni 1.535 0.000 1.668
B 1.535 2.337 1.668
B 1.535 -2.337 1.668
```

=====

Computed, not measured: a relaxed NbNi2B4 crystal at the PBE level of DFT.

Results
Its volume is 8.8 Å³/atom. The formation energy from the elements comes out at -10.10 kcal/mol of atoms. Its symmetry is Immm, No. 71.

extended XYZ file:
```
7
Lattice="-1.527 1.602 6.276 1.527 -1.602 6.276 1.527 1.602 -6.276" Properties=species:S:1:pos:R:3 pbc="T T T"
Nb 0.000 0.000 0.000
Ni 1.527 0.000 2.366
Ni 0.000 1.602 3.910
B 1.527 0.000 4.445
B 0.000 0.000 5.344
B 0.000 0.000 7.208
B 0.000 1.602 1.831
```

=====

Computed, not measured: a relaxed NbNi3B3 crystal at the PBE level of DFT.

Results
Its volume is 10.0 Å³/atom. The formation energy from the elements comes out at -7.26 kcal/mol of atoms. Its symmetry is P6_3/m, No. 176.

extended XYZ file:
```
14
Lattice="7.262 0.000 0.000 -3.631 6.289 0.000 0.000 0.000 3.055" Properties=species:S:1:pos:R:3 pbc="T T T"
Nb 0.000 4.193 0.764
Nb 3.631 2.096 2.291
Ni -2.221 4.838 2.291
Ni 0.552 1.947 2.291
Ni 1.962 0.496 0.764
Ni 1.669 5.794 2.291
Ni 3.079 4.342 0.764
Ni 5.852 1.452 0.764
B -1.388 2.896 2.291
B -0.429 6.043 2.291
B 1.814 2.650 0.764
B 1.817 3.640 2.291
B 4.060 0.246 0.764
B 5.019 3.393 0.764
```

=====

Computed, not measured: a relaxed Nb2NiB3 crystal at the PBE level of DFT.

Results
Its volume is 10.5 Å³/atom. The formation energy from the elements comes out at -13.99 kcal/mol of atoms. Its symmetry is Fmmm, No. 69.

extended XYZ file:
```
12
Lattice="0.000 3.368 5.682 3.299 0.000 5.682 3.299 3.368 0.000" Properties=species:S:1:pos:R:3 pbc="T T T"
Nb 3.299 1.620 5.682
Nb 1.649 1.684 2.841
Nb 4.948 5.052 8.522
Nb 3.299 5.115 5.682
Ni 3.299 3.368 3.784
Ni 3.299 3.368 7.580
B 5.043 3.368 4.781
B 3.299 3.368 1.790
B 5.043 3.368 6.582
B 1.554 3.368 4.781
B 3.299 3.368 9.573
B 1.554 3.368 6.582
```

=====

Computed, not measured: a relaxed NbNi4B2 crystal at the PBE level of DFT.

Results
Its volume is 10.1 Å³/atom. The formation energy from the elements comes out at -8.55 kcal/mol of atoms. Its symmetry is Cmmm, No. 65.

extended XYZ file:
```
7
Lattice="1.695 -6.162 0.000 1.695 6.162 0.000 0.000 0.000 3.393" Properties=species:S:1:pos:R:3 pbc="T T T"
Nb 0.000 0.000 0.000
Ni 1.695 4.028 1.696
Ni 1.695 2.136 0.000
Ni 1.695 -2.136 0.000
Ni 1.695 -4.028 1.696
B 1.695 0.881 1.696
B 1.695 -0.881 1.696
```